Entry 1:
Compound: Sr2ZrTcN6
Source: the Open Quantum Materials Database
Functional: GGA-PBE
Structure: optimized geometry

## Properties
Energy above the lowest structure with this stoichiometry: 129 meV/atom
Spin magnetization: 0.4 μB per formula unit

```
Sr2ZrTcN6
1.0
-4.7258 2.5998 -2.0659
1.9815 -4.8092 -2.5110
-5.9019 -5.7214 6.3006
N Tc Sr Zr
12 2 4 2
direct
0.6431 0.7623 0.3627
0.1191 0.3569 0.3627
0.3569 0.2377 0.6373
0.8809 0.2377 0.8627
0.3569 0.1191 0.8627
0.6431 0.8809 0.1373
0.7623 0.6431 0.8627
0.8809 0.6431 0.6373
0.7623 0.1191 0.6373
0.1191 0.7623 0.1373
0.2377 0.3569 0.1373
0.2377 0.8809 0.3627
0.6667 0.3333 0.7500
0.3333 0.6667 0.2500
0.6667 0.3333 0.0649
0.3333 0.6667 0.9351
0.3333 0.6667 0.5649
0.6667 0.3333 0.4351
0.0000 0.0000 0.7500
0.0000 0.0000 0.2500
```

Entry 2:
Compound: Sr2W2N5
Source: the Open Quantum Materials Database
Functional: GGA-PBE
Structure: optimized geometry

## Properties
Spin magnetization: 0.0 μB per formula unit
E_tot: -8.626 eV/atom

```
Sr2W2N5
1.0
-6.2175 -0.6903 -0.0050
-4.8504 -2.0978 -3.3476
1.6519 -5.2439 2.8837
N Sr W
5 2 2
direct
0.3229 0.3229 0.0147
0.1208 0.1208 0.5981
0.0000 0.0000 0.0000
0.8792 0.8792 0.4019
0.6771 0.6771 0.9853
0.5868 0.5868 0.3177
0.4132 0.4132 0.6823
0.1472 0.1472 0.8923
0.8528 0.8528 0.1077
```

Entry 3:
Compound: Sr3WN4
Source: the Open Quantum Materials Database
Functional: GGA-PBE
Structure: optimized geometry

## Properties
Spin magnetization: 0.0 μB per formula unit
E_tot: -7.370 eV/atom

```
Sr3WN4
1.0
-2.6691 -7.3890 0.7205
4.1284 -0.9664 5.3827
-4.1550 1.8440 3.5179
Sr W N
6 2 8
direct
0.2562 0.3259 0.5272
0.7562 0.6741 0.0272
0.5000 0.1439 0.0283
0.0000 0.8561 0.5283
0.2438 0.6741 0.0272
0.7438 0.3259 0.5272
0.0000 0.1787 0.9995
0.5000 0.8213 0.4995
0.7042 0.6912 0.5881
0.0000 0.1840 0.6752
0.5000 0.8160 0.1752
0.2958 0.6912 0.5881
0.5000 0.0907 0.5817
0.7958 0.3088 0.0881
0.0000 0.9093 0.0817
0.2042 0.3088 0.0881
```

Entry 4:
Compound: SrWN3
Source: the Open Quantum Materials Database
Functional: GGA-PBE
Structure: optimized geometry

## Properties
Spin magnetization: 0.0 μB per formula unit
E_tot: -8.568 eV/atom

```
SrWN3
1.0
3.6752 0.0000 0.0000
-0.0919 6.3308 0.0000
-0.7683 -2.2815 6.2023
N W Sr
6 2 2
direct
0.4896 0.1956 0.0557
0.0361 0.4887 0.3128
0.4832 0.7187 0.0352
0.6173 0.7582 0.5723
0.9173 0.8731 0.7350
0.5415 0.2430 0.5310
0.5224 0.4176 0.3663
0.4425 0.8949 0.8713
0.9643 0.3870 0.8911
0.0342 0.9183 0.3596
```

Entry 5:
Compound: SrWN2
Source: the Open Quantum Materials Database
Functional: GGA-PBE
Structure: optimized geometry

## Properties
Spin magnetization: 0.0 μB per formula unit
E_tot: -8.492 eV/atom

```
SrWN2
1.0
6.7053 0.0000 0.0000
0.0000 7.5324 0.0000
-2.1304 0.0000 4.9390
Sr N W
4 8 4
direct
0.3327 0.9126 0.6670
0.6673 0.4126 0.8330
0.6673 0.0874 0.3330
0.3327 0.5874 0.1670
0.3339 0.2511 0.9174
0.8055 0.4054 0.4033
0.8055 0.0946 0.9033
0.1945 0.5946 0.5967
0.3339 0.2489 0.4174
0.1945 0.9054 0.0967
0.6661 0.7511 0.5826
0.6661 0.7489 0.0826
0.1331 0.3449 0.5669
0.1331 0.1551 0.0669
0.8669 0.6551 0.4331
0.8669 0.8449 0.9331
```

Entry 6:
Compound: SrWN2
Source: the Open Quantum Materials Database
Functional: GGA-PBE
Structure: optimized geometry

## Properties
Spin magnetization: 0.0 μB per formula unit
E_tot: -8.493 eV/atom

```
SrWN2
1.0
6.1681 -2.6874 0.0000
6.1681 2.6874 0.0000
-0.0006 0.0000 7.5371
N Sr W
8 4 4
direct
0.4172 0.9172 0.2500
0.5828 0.0828 0.7500
0.9172 0.4172 0.2500
0.5966 0.5966 0.9050
0.0966 0.0966 0.5950
0.0828 0.5828 0.7500
0.9034 0.9034 0.4050
0.4034 0.4034 0.0950
0.8342 0.8342 0.0875
0.6658 0.6658 0.5876
0.1658 0.1658 0.9125
0.3342 0.3342 0.4124
0.9330 0.9330 0.6547
0.4329 0.4329 0.8453
0.5671 0.5671 0.1547
0.0670 0.0670 0.3453
```

Entry 7:
Compound: Sr3W5N12
Source: the Open Quantum Materials Database
Functional: GGA-PBE
Structure: optimized geometry

## Properties
Spin magnetization: 0.0 μB per formula unit
E_tot: -9.103 eV/atom

```
Sr3W5N12
1.0
0.7881 -9.7040 -5.8006
-8.9159 -0.4841 6.9790
-1.3259 8.6258 -7.2300
N W Sr
48 20 12
direct
0.8918 0.9947 0.8129
0.1082 0.0053 0.1871
0.6871 0.5053 0.6082
0.3918 0.3129 0.4947
0.1082 0.6028 0.9210
0.5790 0.8972 0.3918
0.5790 0.1818 0.1871
0.1028 0.6082 0.4210
0.8182 0.8129 0.4210
0.0053 0.3182 0.8972
0.4947 0.3918 0.3129
0.3972 0.0790 0.8918
0.8129 0.8918 0.9947
0.1818 0.4947 0.6028
0.9947 0.8129 0.8918
0.4210 0.1028 0.6082
0.8182 0.5053 0.3972
0.6818 0.0790 0.6871
0.8129 0.4210 0.8182
0.3972 0.8182 0.5053
0.6028 0.9210 0.1082
0.4210 0.8182 0.8129
0.8972 0.0053 0.3182
0.1871 0.5790 0.1818
0.3182 0.9210 0.3129
0.1028 0.9947 0.6818
0.1818 0.1871 0.5790
0.9210 0.1082 0.6028
0.0053 0.1871 0.1082
0.5053 0.3972 0.8182
0.6871 0.6818 0.0790
0.3918 0.5790 0.8972
0.3129 0.4947 0.3918
0.5053 0.6082 0.6871
0.8972 0.3918 0.5790
0.9210 0.3129 0.3182
0.8918 0.3972 0.0790
0.6082 0.4210 0.1028
0.0790 0.8918 0.3972
0.3129 0.3182 0.9210
0.0790 0.6871 0.6818
0.6082 0.6871 0.5053
0.1871 0.1082 0.0053
0.6028 0.1818 0.4947
0.3182 0.8972 0.0053
0.9947 0.6818 0.1028
0.6818 0.1028 0.9947
0.4947 0.6028 0.1818
0.2500 0.6250 0.3750
0.7500 0.3750 0.6250
0.5000 0.5000 0.5000
0.3750 0.6250 0.7500
0.5000 0.0000 0.5000
0.8750 0.1250 0.7500
0.2500 0.1250 0.8750
0.7500 0.8750 0.1250
0.0000 0.5000 0.0000
0.1250 0.7500 0.8750
0.6250 0.7500 0.3750
0.8750 0.2500 0.1250
0.1250 0.8750 0.2500
0.0000 0.0000 0.0000
0.0000 0.5000 0.5000
0.5000 0.0000 0.0000
0.6250 0.3750 0.2500
0.0000 0.0000 0.5000
0.3750 0.2500 0.6250
0.5000 0.5000 0.0000
0.3750 0.7500 0.1250
0.1250 0.2500 0.3750
0.1250 0.3750 0.7500
0.7500 0.6250 0.8750
0.2500 0.3750 0.1250
0.6250 0.2500 0.8750
0.8750 0.7500 0.6250
0.7500 0.1250 0.3750
0.2500 0.8750 0.6250
0.8750 0.6250 0.2500
0.3750 0.1250 0.2500
0.6250 0.8750 0.7500
```

Entry 8:
Compound: Sr3ZrN3
Source: the Open Quantum Materials Database
Functional: GGA-PBE
Structure: optimized geometry

## Properties
Spin magnetization: 0.0 μB per formula unit
E_tot: -6.287 eV/atom

```
Sr3ZrN3
1.0
8.1082 0.0000 0.0000
0.0000 5.3396 0.0000
-4.0524 0.0000 7.0263
Sr N Zr
6 6 2
direct
0.8987 0.2500 0.2393
0.6592 0.7500 0.8987
0.7603 0.2500 0.6590
0.3408 0.2500 0.1013
0.2397 0.7500 0.3410
0.1013 0.7500 0.7607
0.8760 0.7500 0.2589
0.7408 0.7500 0.6168
0.1240 0.2500 0.7411
0.2592 0.2500 0.3832
0.3829 0.7500 0.1239
0.6171 0.2500 0.8761
0.6668 0.7500 0.3334
0.3332 0.2500 0.6666
```

Entry 9:
Compound: Ta3N5
Source: the Open Quantum Materials Database
Functional: GGA-PBE
Structure: optimized geometry

## Properties
Energy above the lowest structure with this stoichiometry: 0 meV/atom
Spin magnetization: 0.0 μB per formula unit

```
Ta3N5
1.0
-4.9484 9.7416 -0.2668
-0.5048 -0.3356 -2.8892
-8.3659 -4.1962 1.9492
Ta N
12 20
direct
0.8829 0.7500 0.2489
0.3829 0.7500 0.2511
0.8742 0.2500 0.5907
0.6171 0.2500 0.7489
0.3669 0.7500 0.5765
0.6258 0.7500 0.0907
0.8669 0.7500 0.9235
0.3742 0.2500 0.9093
0.1171 0.2500 0.7511
0.1258 0.7500 0.4093
0.1331 0.2500 0.0765
0.6331 0.2500 0.4235
0.4316 0.2500 0.7044
0.4254 0.2500 0.4196
0.0684 0.7500 0.2044
0.5684 0.7500 0.2956
0.7626 0.7500 0.7221
0.2374 0.2500 0.2779
0.7846 0.7500 0.4531
0.9752 0.2500 0.3905
0.0746 0.7500 0.9196
0.5248 0.7500 0.8905
0.2626 0.7500 0.7779
0.9316 0.2500 0.7956
0.0248 0.7500 0.6095
0.9254 0.2500 0.0804
0.7374 0.2500 0.2221
0.4752 0.2500 0.1095
0.7154 0.2500 0.9531
0.5746 0.7500 0.5804
0.2846 0.7500 0.0469
0.2154 0.2500 0.5469
```

Entry 10:
Compound: Ta3N5
Source: the Open Quantum Materials Database
Functional: GGA-PBE
Structure: optimized geometry

## Properties
Energy above the lowest structure with this stoichiometry: 23 meV/atom
Spin magnetization: 0.0 μB per formula unit

```
Ta3N5
1.0
-3.5796 3.6106 7.8472
4.2310 -2.8476 3.2403
3.3970 4.4701 -0.5072
N Ta
20 12
direct
0.2915 0.7500 0.7092
0.7085 0.2500 0.2908
0.8893 0.9712 0.1500
0.9995 0.7500 0.5442
0.3893 0.9712 0.3500
0.7915 0.7500 0.7908
0.1107 0.4712 0.8500
0.3893 0.5288 0.3500
0.6107 0.0288 0.6500
0.3178 0.2500 0.6961
0.2085 0.2500 0.2092
0.4995 0.7500 0.9558
0.5005 0.2500 0.0442
0.0005 0.2500 0.4558
0.1107 0.0288 0.8500
0.6822 0.7500 0.3038
0.8178 0.2500 0.8038
0.1822 0.7500 0.1961
0.8893 0.5288 0.1500
0.6107 0.4712 0.6500
0.6788 0.4983 0.0037
0.1788 0.0017 0.4963
0.3212 0.5017 0.9963
0.9990 0.2500 0.0754
0.5010 0.7500 0.5754
0.8212 0.5017 0.5037
0.6788 0.0017 0.0037
0.3212 0.9983 0.9963
0.4990 0.2500 0.4246
0.8212 0.9983 0.5037
0.1788 0.4983 0.4963
0.0010 0.7500 0.9246
```

Entry 11:
Compound: Ta2N
Source: the Open Quantum Materials Database
Functional: GGA-PBE
Structure: optimized geometry

## Properties
Spin magnetization: 0.0 μB per formula unit
E_tot: -8.489 eV/atom

```
Ta2N
1.0
-0.5772 -4.9532 1.7535
-3.7572 -1.1285 3.5429
-4.2218 -2.8375 -1.4376
N Ta
2 4
direct
0.2500 0.2500 0.2500
0.0000 0.0000 0.0000
0.6250 0.1250 0.6250
0.1250 0.6250 0.6250
0.6250 0.6250 0.6250
0.6250 0.6250 0.1250
```

Entry 12:
Compound: Ta5N
Source: the Open Quantum Materials Database
Functional: GGA-PBE
Structure: optimized geometry

## Properties
Spin magnetization: 0.5 μB per formula unit
E_tot: -9.603 eV/atom

```
Ta5N
1.0
5.3479 0.0000 0.0000
-2.6739 4.6314 0.0000
0.0000 0.0000 4.8347
Ta N
5 1
direct
0.5000 0.0000 0.5000
0.6667 0.3333 0.0000
0.0000 0.5000 0.5000
0.3333 0.6667 0.0000
0.5000 0.5000 0.5000
0.0000 0.0000 0.0000
```

V readings, ordered: 299.2, 140.8, 310.7, 144.3, 249.5, 249.9, 1120.5, 304.2, 308.5, 318.5, 104.4, 119.7 Å³ per cell